(1)
Compound: BaCaTl2
Source: Alexandria
Functional: PBE
Structure: relaxed

Output
D(E_F), states/eV/f.u.: 3.22
Uncorrected energy, Ha/atom: -0.0903
Theoretical density, g cm⁻³: 6.509

Lattice parameters (Å, degrees): 4.2040 5.2772 13.4815 90.00 90.00 90.00
Closest atoms and distances in Å follow each position.
Space group Imm2 (No. 44)
Unique sites:
Ba  0.0000  0.0000  0.0000  6 Tl 3.62-3.69
Ca  0.0000  0.5000  0.2354  6 Tl 3.38-3.47
Tl  0.0000  0.0000  0.4024  2 Tl 3.18, 2 Ca 3.47
Tl  0.0000  0.5000  0.7251  2 Tl 3.18, 4 Ca 3.38


(2)
Compound: Pr2Zn3Au5
Source: Alexandria
Functional: PBE
Structure: relaxed

Output
D(E_F), states/eV/f.u.: 5.24
Relative energy among the computed polymorphs, meV/atom: 0
Theoretical density, g cm⁻³: 11.625

Lattice parameters (Å, degrees): 10.8276 13.1700 5.8614 90.00 90.00 90.00
Closest atoms and distances in Å follow each position.
Space group Ibam (No. 72)
Unique sites:
Pr  0.2203  0.1422  0.0000  9 Au 3.20-3.48, 4 Zn 3.23-3.42
Zn  0.0000  0.5000  0.2500  6 Au 2.70-2.75, 2 Zn 2.93
Zn  0.0946  0.1475  0.5000  5 Au 2.56-2.64
Au  0.0000  0.0000  0.2500  4 Zn 2.64, 2 Au 2.93
Au  0.0000  0.2915  0.2500  3 Zn 2.61-2.75
Au  0.1806  0.4136  0.0000  3 Zn 2.56-2.70


(3)
Compound: Tb4MgHg2
Source: Alexandria
Functional: PBE
Structure: relaxed

Output
D(E_F), states/eV/f.u.: 7.87
Relative energy among the computed polymorphs, meV/atom: 0
Theoretical density, g cm⁻³: 9.046

Lattice parameters (Å, degrees): 5.2322 5.2322 24.6491 90.00 90.00 120.00
Closest atoms and distances in Å follow each position.
Space group R-3m (No. 166, hexagonal axes)
Unique sites:
Tb  0.0000  0.0000  0.1099  4 Hg 3.04-3.18, 3 Mg 3.33
Tb  0.0000  0.0000  0.3657  4 Hg 3.13-3.39, 1 Mg 3.31, 3 Tb 3.42
Mg  0.0000  0.0000  0.5000  8 Tb 3.31-3.33, 6 Hg 3.51
Hg  0.0000  0.0000  0.2388  8 Tb 3.04-3.39


(4)
Compound: TiCdGa2H
Source: Alexandria
Functional: PBE
Structure: relaxed

Output
D(E_F), states/eV/f.u.: 2.45
Uncorrected energy, Ha/atom: -0.1154
Theoretical density, g cm⁻³: 5.485

Lattice parameters (Å, degrees): 5.2875 5.2875 3.2565 90.00 90.00 90.00
Closest atoms and distances in Å follow each position.
Space group P4/mmm (No. 123)
Unique sites:
Ti  0.0000  0.0000  0.0000  8 Ga 3.10, 2 Ti 3.26
Cd  0.5000  0.5000  0.5000  2 H 1.63
Ga  0.0000  0.5000  0.5000  2 Cd 2.64
H  0.5000  0.5000  0.0000  2 Cd 1.63


(5)
Compound: Tb5Pm4Ag
Source: Alexandria
Functional: PBE
Structure: relaxed

Output
D(E_F), states/eV/f.u.: 12.22
Uncorrected energy, Ha/atom: -0.1670
Theoretical density, g cm⁻³: 7.825

Lattice parameters (Å, degrees): 3.6040 3.6040 24.2211 90.00 90.00 90.00
Closest atoms and distances in Å follow each position.
Space group P4/mmm (No. 123)
Unique sites:
Tb  0.0000  0.0000  0.0000  8 Pm 3.60, 4 Tb 3.60
Tb  0.0000  0.0000  0.2110  8 Pm 3.59-3.61, 4 Tb 3.60
Tb  0.0000  0.0000  0.4222  4 Ag 3.17
Pm  0.5000  0.5000  0.1052  8 Tb 3.60-3.61, 4 Pm 3.60
Pm  0.5000  0.5000  0.3154  8 Tb 3.59-3.63, 4 Pm 3.60
Ag  0.5000  0.5000  0.5000  8 Tb 3.17


(6)
Compound: SmLu2Pt
Source: Alexandria
Functional: PBE
Structure: relaxed

Output
D(E_F), states/eV/f.u.: 3.98
Relative energy among the computed polymorphs, meV/atom: 0
Theoretical density, g cm⁻³: 11.152

Lattice parameters (Å, degrees): 3.4957 3.4957 8.4735 90.00 90.00 90.00
Closest atoms and distances in Å follow each position.
Space group P4/mmm (No. 123)
Unique sites:
Sm  0.0000  0.0000  0.0000  4 Sm 3.50, 8 Lu 3.60
Lu  0.5000  0.5000  0.3094  4 Pt 2.95, 1 Lu 3.23
Pt  0.0000  0.0000  0.5000  8 Lu 2.95


(7)
Compound: Ho2NbFe
Source: Alexandria
Functional: PBE
Structure: relaxed

Output
D(E_F), states/eV/f.u.: 4.16
Uncorrected energy, Ha/atom: -0.2304
Theoretical density, g cm⁻³: 9.044

Lattice parameters (Å, degrees): 3.1850 3.1850 30.0061 90.00 90.00 120.00
Closest atoms and distances in Å follow each position.
Space group R-3m (No. 166, hexagonal axes)
Unique sites:
Ho  0.0000  0.0000  0.0994  3 Fe 2.73, 1 Nb 2.98
Nb  0.0000  0.0000  0.0000  2 Ho 2.98, 6 Nb 3.19
Fe  0.0000  0.0000  0.5000  6 Ho 2.73


(8)
Compound: CsRb4Li
Source: Alexandria
Functional: PBE
Structure: relaxed

Output
D(E_F), states/eV/f.u.: 3.80
Uncorrected energy, Ha/atom: -0.0346
Theoretical density, g cm⁻³: 1.544

Lattice parameters (Å, degrees): 12.7501 12.7501 12.7501 90.00 90.00 90.00
Closest atoms and distances in Å follow each position.
Space group F-43m (No. 216)
Unique sites:
Cs  0.0000  0.0000  0.0000  12 Rb 5.29, 4 Li 5.52
Rb  0.1239  0.1239  0.3761  6 Rb 4.47-4.55
Li  0.2500  0.2500  0.7500  12 Rb 5.28, 4 Cs 5.52